# 1
Computed, not measured: a relaxed CoBrN2 crystal at the PBEsol level of DFT.

Summary:
Energy above the lowest structure with this stoichiometry = 0.00 kJ/mol of atoms

Unit cell a=2.9707 b=2.9707 c=17.5041 alpha=90.00 beta=90.00 gamma=120.00
Last column: nearest neighbours and their distance in Å.
Space group R-3m (No. 166, hexagonal axes)
Unique sites:
Co 0.0000 0.0000 0.0000 x3  6 N 1.93
Br 0.0000 0.0000 0.5000 x3  2 N 2.04
N 0.0000 0.0000 0.3834 x6  3 Co 1.93, 1 Br 2.04

# 2
Computed, not measured: a relaxed MgSi2Pt crystal at the PBEsol level of DFT.

Summary:
Final energy = -5.259 eV per atom

Unit cell a=3.8748 b=3.8748 c=7.9343 alpha=90.00 beta=90.00 gamma=90.00
Last column: nearest neighbours and their distance in Å.
Space group I-4m2 (No. 119)
Unique sites:
Mg 0.0000 0.0000 0.0000 x2  8 Si 2.74-2.77, 4 Pt 2.77
Si 0.0000 0.0000 0.5000 x2  4 Mg 2.74, 4 Pt 2.77, 4 Si 2.77
Si 0.0000 0.5000 0.7500 x2  4 Pt 2.74, 4 Mg 2.77, 4 Si 2.77
Pt 0.0000 0.5000 0.2500 x2  8 Si 2.74-2.77, 4 Mg 2.77

# 3
Computed, not measured: a relaxed CaGeH2N crystal at the PBEsol level of DFT.

Summary:
Final energy = -4.001 eV per atom

Unit cell a=3.4050 b=3.4050 c=6.5848 alpha=90.00 beta=90.00 gamma=90.00
Last column: nearest neighbours and their distance in Å.
Space group P4/mmm (No. 123)
Unique sites:
Ca 0.0000 0.0000 0.0000 x1  4 N 2.41
Ge 0.0000 0.0000 0.5000 x1  4 H 1.70
H 0.0000 0.5000 0.5000 x2  2 Ge 1.70
N 0.5000 0.5000 0.0000 x1  4 Ca 2.41

# 4
Computed, not measured: a relaxed SrCrO2 crystal at the PBEsol level of DFT.

Summary:
Final energy = -7.761 eV per atom

Unit cell a=3.8603 b=3.8603 c=3.5521 alpha=90.00 beta=90.00 gamma=90.00
Last column: nearest neighbours and their distance in Å.
Space group P4/mmm (No. 123)
Unique sites:
Sr 0.0000 0.0000 0.0000 x1  8 O 2.62
Cr 0.5000 0.5000 0.5000 x1  4 O 1.93
O 0.0000 0.5000 0.5000 x2  2 Cr 1.93

# 5
Computed, not measured: a relaxed TlW3 crystal at the PBEsol level of DFT.

Summary:
Final energy = -10.318 eV per atom

Unit cell a=3.0170 b=3.9401 c=5.8582 alpha=90.00 beta=90.00 gamma=90.00
Last column: nearest neighbours and their distance in Å.
Space group Pmmm (No. 47)
Unique sites:
Tl 0.0000 0.0000 0.0000 x1  10 W 2.93-3.00, 2 Tl 3.02
W 0.0000 0.0000 0.5000 x1  10 W 2.77-3.02, 2 Tl 2.93
W 0.5000 0.5000 0.2881 x2  5 W 2.48-2.77

# 6
Computed, not measured: a relaxed CrCu2Rh crystal at the PBEsol level of DFT.

Summary:
Final energy = -6.494 eV per atom

Unit cell a=5.8594 b=5.8594 c=5.8594 alpha=90.00 beta=90.00 gamma=90.00
Last column: nearest neighbours and their distance in Å.
Space group Fm-3m (No. 225)
Unique sites:
Cr 0.0000 0.0000 0.0000 x4  8 Cu 2.54
Cu 0.2500 0.2500 0.2500 x8  4 Cr 2.54, 4 Rh 2.54
Rh 0.0000 0.0000 0.5000 x4  8 Cu 2.54

# 7
Computed, not measured: a relaxed YZr2W crystal at the PBEsol level of DFT.

Summary:
Energy above the lowest structure with this stoichiometry = 16.77 kJ/mol of atoms

Unit cell a=5.6817 b=2.9164 c=5.6875 alpha=90.00 beta=116.80 gamma=90.00
Last column: nearest neighbours and their distance in Å.
Space group P2/m (No. 10)
Unique sites:
Y 0.0000 0.0000 0.0000 x1  2 Y 2.92, 6 Zr 2.98-3.20, 4 W 3.19
Zr 0.0000 0.5000 0.5000 x1  6 Zr 2.92-3.19, 2 W 2.98, 4 Y 3.20
Zr 0.5000 0.0000 0.5000 x1  6 Zr 2.92-3.19, 2 Y 2.98, 4 W 3.20
W 0.5000 0.5000 0.0000 x1  2 W 2.92, 6 Zr 2.98-3.20, 4 Y 3.19

# 8
Computed, not measured: a relaxed MgFe2As crystal at the PBEsol level of DFT.

Summary:
Final energy = -6.003 eV per atom

Unit cell a=2.9146 b=2.9146 c=24.0765 alpha=90.00 beta=90.00 gamma=120.00
Last column: nearest neighbours and their distance in Å.
Space group R3m (No. 160, hexagonal axes)
Unique sites:
Mg 0.0000 0.0000 0.0000 x3  3 Fe 2.73, 6 Mg 2.91, 3 As 2.97
Fe 0.0000 0.0000 0.4932 x3  3 Fe 2.39, 3 As 2.42
Fe 0.0000 0.0000 0.7559 x3  3 Fe 2.39
As 0.0000 0.0000 0.2318 x3  3 Fe 2.42